# 1
# SrCd2Hg, optimized geometry, DFT PBEsol
# V   27.10 Å³ per atom
# Total magnetization   0.00 μB per formula unit
# Calculated formation energy   -1.03 eV per formula unit
data_SrCd2Hg
_chemical_formula_sum 'Sr1 Cd2 Hg1'
_cell_length_a 3.725
_cell_length_b 5.022
_cell_length_c 5.796
_cell_angle_alpha 90.00
_cell_angle_beta 91.04
_cell_angle_gamma 90.00
_symmetry_space_group_name_H-M 'P 1 2/m 1'
_symmetry_Int_Tables_number 10
loop_
_symmetry_equiv_pos_as_xyz
'x,y,z'
'-x,-y,-z'
'-x,y,-z'
'x,-y,z'
loop_
_atom_site_label
_atom_site_fract_x
_atom_site_fract_y
_atom_site_fract_z
_atom_site_occupancy
Sr1 0.000 0.000 0.000 1
Cd1 0.491 0.500 0.749 1
Hg1 0.500 0.000 0.500 1

***

# 2
# Ta3CdHg, optimized geometry, DFT PBEsol
# V   23.52 Å³ per atom
# Total magnetization   0.05 μB per formula unit
# Calculated formation energy   10.71 eV per formula unit
data_Ta3CdHg
_chemical_formula_sum 'Ta3 Cd1 Hg1'
_cell_length_a 4.900
_cell_length_b 4.900
_cell_length_c 4.900
_cell_angle_alpha 90.00
_cell_angle_beta 90.00
_cell_angle_gamma 90.00
_symmetry_space_group_name_H-M 'P m -3 m'
_symmetry_Int_Tables_number 221
_symmetry_space_group_name_Hall '-P 4 2 3'
loop_
_atom_site_label
_atom_site_fract_x
_atom_site_fract_y
_atom_site_fract_z
_atom_site_occupancy
Ta1 0.000 0.000 0.500 1
Cd1 0.000 0.000 0.000 1
Hg1 0.500 0.500 0.500 1

***

# 3
# TbCdHg2, optimized geometry, DFT PBEsol
# V   21.98 Å³ per atom
# Total magnetization   0.00 μB per formula unit
# Calculated formation energy   -1.92 eV per formula unit
data_TbCdHg2
_chemical_formula_sum 'Tb4 Cd4 Hg8'
_cell_length_a 7.058
_cell_length_b 7.058
_cell_length_c 7.058
_cell_angle_alpha 90.00
_cell_angle_beta 90.00
_cell_angle_gamma 90.00
_symmetry_space_group_name_H-M 'F m -3 m'
_symmetry_Int_Tables_number 225
_symmetry_space_group_name_Hall '-F 4 2 3'
loop_
_atom_site_label
_atom_site_fract_x
_atom_site_fract_y
_atom_site_fract_z
_atom_site_occupancy
Tb1 0.000 0.000 0.000 1
Cd1 0.000 0.000 0.500 1
Hg1 0.250 0.250 0.250 1

***

- Which of these has the highest calculated formation energy?
  Ta3CdHg

***

- What is the V in the first record?
  27.10 Å³ per atom

***

- Which of these has the highest V?
  SrCd2Hg

***

- The lowest V belongs to which entry?
  TbCdHg2